PBE-GGA TaBeNiSb, optimized geometry; E = -5.883 eV per atom; mass density = 10.240 g/cm³; relative energy among the computed polymorphs = 0.0470 eV/atom
1.0
0.0000 3.1083 3.1083
3.1083 0.0000 3.1083
3.1083 3.1083 0.0000
Be Ni Sb Ta
1 1 1 1
direct
0.2500 0.2500 0.2500
0.7500 0.7500 0.7500
0.0000 0.0000 0.0000
0.5000 0.5000 0.5000